[1]
{"formula": "Pu3As2N2", "functional": "PBE-GGA", "state": "relaxed", "lattice_angstrom": [[-0.1175, -3.5645, 5.9529], [6.5723, 2.2355, 1.4684], [-2.1627, 3.1735, 4.8486]], "species": ["N", "N", "N", "N", "As", "As", "As", "As", "Pu", "Pu", "Pu", "Pu", "Pu", "Pu"], "fractional_positions": [[0.9359, 0.8834, 0.3315], [0.5641, 0.3834, 0.6685], [0.4359, 0.6166, 0.3315], [0.0641, 0.1166, 0.6685], [0.5989, 0.1739, 0.2033], [0.0989, 0.3261, 0.2033], [0.9011, 0.6739, 0.7967], [0.4011, 0.8261, 0.7967], [0.0000, 0.0000, 0.0000], [0.7562, 0.5998, 0.3811], [0.7438, 0.0998, 0.6189], [0.2562, 0.9002, 0.3811], [0.2438, 0.4002, 0.6189], [0.5000, 0.5000, 0.0000]], "de_polymorph_ev_per_fu": 0.69, "space_group": "P2_1/c", "formation_energy_uncorrected_ev_per_atom": -0.98}

[2]
{"formula": "Cr2TcP", "functional": "PBE-GGA", "state": "relaxed", "lattice_angstrom": [[4.8232, 0.0031, -0.0018], [2.2943, 4.2426, 0.0018], [-3.1819, -2.7547, 2.3560]], "species": ["Tc", "P", "Cr", "Cr"], "fractional_positions": [[0.7500, 0.2500, 0.5000], [0.2500, 0.7500, 0.5000], [0.0115, 0.0115, 0.0000], [0.4885, 0.4885, 0.0000]], "space_group": "Immm", "e_form_ev_per_atom": -0.210}

[3]
{"formula": "Sm11Al9Co4", "functional": "PBE-GGA", "state": "relaxed", "lattice_angstrom": [[-2.7026, 2.2503, 1.0474], [-0.8406, 4.4987, -11.8341], [-7.5788, -9.9941, 1.9157]], "species": ["Sm", "Sm", "Sm", "Sm", "Sm", "Sm", "Sm", "Sm", "Sm", "Sm", "Sm", "Co", "Co", "Co", "Co", "Al", "Al", "Al", "Al", "Al", "Al", "Al", "Al", "Al"], "fractional_positions": [[0.0000, 0.0000, 0.0000], [0.0000, 0.5853, 0.9270], [0.0000, 0.4147, 0.0730], [0.0000, 0.3757, 0.6243], [0.0000, 0.1665, 0.8335], [0.0000, 0.0730, 0.4147], [0.0000, 0.8335, 0.1665], [0.0000, 0.9270, 0.5853], [0.0000, 0.6875, 0.6875], [0.0000, 0.6243, 0.3757], [0.0000, 0.3125, 0.3125], [0.5000, 0.7590, 0.5545], [0.5000, 0.2410, 0.4455], [0.5000, 0.5545, 0.7590], [0.5000, 0.4455, 0.2410], [0.5000, 0.8290, 0.3697], [0.5000, 0.1710, 0.6303], [0.5000, 0.0868, 0.2219], [0.5000, 0.5000, 0.5000], [0.5000, 0.3697, 0.8290], [0.5000, 0.9132, 0.7781], [0.5000, 0.2219, 0.0868], [0.5000, 0.7781, 0.9132], [0.5000, 0.6303, 0.1710]], "space_group": "Cmmm", "e_form_ev_per_atom": -0.347}

Number 1: DFT total energy -10.825 eV per atom. Number 2: DFT total energy -8.966 eV per atom. Number 3: DFT total energy -5.098 eV per atom.